(1)
# CsP2BrCl | Alexandria | PBE | optimized geometry
data_CsP2BrCl
_space_group_name_H-M_alt 'P 4/m m m'
_space_group_IT_number 123
_space_group_name_Hall '-P 4 2'
_cell_length_a 5.093
_cell_length_b 5.093
_cell_length_c 7.649
_cell_angle_alpha 90.00
_cell_angle_beta 90.00
_cell_angle_gamma 90.00
loop_
_atom_site_label
_atom_site_type_symbol
_atom_site_fract_x
_atom_site_fract_y
_atom_site_fract_z
Cs1 Cs 0.000 0.000 0.000
P1 P 0.000 0.500 0.500
Br1 Br 0.500 0.500 0.500
Cl1 Cl 0.500 0.500 0.000
# Relative energy among the computed polymorphs: 0 meV per atom



(2)
Cs2PBrCl6 after structural relaxation. Source: Alexandria, functional PBE.

CIF file:
```
data_Cs2PBrCl6
_space_group_name_H-M_alt 'R -3 m'
_space_group_IT_number 166
_space_group_name_Hall '-R 3 2"'
_cell_length_a 6.7267
_cell_length_b 6.7267
_cell_length_c 54.5874
_cell_angle_alpha 90.00
_cell_angle_beta 90.00
_cell_angle_gamma 120.00
loop_
_atom_site_label
_atom_site_type_symbol
_atom_site_fract_x
_atom_site_fract_y
_atom_site_fract_z
Cs1 Cs 0.0000 0.0000 0.1100
Cs2 Cs 0.0000 0.0000 0.2885
P1 P 0.0000 0.0000 0.0000
P2 P 0.0000 0.0000 0.5000
Br1 Br 0.0000 0.0000 0.4097
Cl1 Cl 0.0284 0.5142 0.1439
Cl2 Cl 0.0277 0.5139 0.6900
```



(3)
# CsP2BrCl | Alexandria | PBE | optimized geometry
data_CsP2BrCl
_space_group_name_H-M_alt 'P 4/m m m'
_space_group_IT_number 123
_space_group_name_Hall '-P 4 2'
_cell_length_a 5.906
_cell_length_b 5.906
_cell_length_c 5.851
_cell_angle_alpha 90.00
_cell_angle_beta 90.00
_cell_angle_gamma 90.00
loop_
_atom_site_label
_atom_site_type_symbol
_atom_site_fract_x
_atom_site_fract_y
_atom_site_fract_z
Cs1 Cs 0.000 0.000 0.000
P1 P 0.000 0.500 0.000
Br1 Br 0.500 0.500 0.500
Cl1 Cl 0.000 0.000 0.500
# Relative energy among the computed polymorphs: 957 meV per atom



(4)
Cs2PaBr5Cl after structural relaxation. Source: Alexandria, functional PBE.

CIF file:
```
data_Cs2PaBr5Cl
_space_group_name_H-M_alt 'I 4 m m'
_space_group_IT_number 107
_space_group_name_Hall 'I 4 -2'
_cell_length_a 8.116
_cell_length_b 8.116
_cell_length_c 11.336
_cell_angle_alpha 90.00
_cell_angle_beta 90.00
_cell_angle_gamma 90.00
loop_
_atom_site_label
_atom_site_type_symbol
_atom_site_fract_x
_atom_site_fract_y
_atom_site_fract_z
Cs1 Cs 0.000 0.500 0.000
Pa1 Pa 0.000 0.000 0.249
Br1 Br 0.000 0.000 0.497
Br2 Br 0.245 0.245 0.251
Cl1 Cl 0.000 0.000 0.017
```



(5)
Cs2PbBrCl6 after structural relaxation. Source: Alexandria, functional PBE.

CIF file:
```
data_Cs2PbBrCl6
_space_group_name_H-M_alt 'I 4/m m m'
_space_group_IT_number 139
_space_group_name_Hall '-I 4 2'
_cell_length_a 8.488
_cell_length_b 8.488
_cell_length_c 10.432
_cell_angle_alpha 90.00
_cell_angle_beta 90.00
_cell_angle_gamma 90.00
loop_
_atom_site_label
_atom_site_type_symbol
_atom_site_fract_x
_atom_site_fract_y
_atom_site_fract_z
Cs1 Cs 0.000 0.500 0.250
Pb1 Pb 0.000 0.000 0.000
Br1 Br 0.000 0.000 0.500
Cl1 Cl 0.000 0.000 0.268
Cl2 Cl 0.223 0.223 0.000
```



(6)
# CsPbBr2Cl | Alexandria | PBE | optimized geometry
data_CsPbBr2Cl
_space_group_name_H-M_alt 'P 4/m m m'
_space_group_IT_number 123
_space_group_name_Hall '-P 4 2'
_cell_length_a 6.948
_cell_length_b 6.948
_cell_length_c 5.153
_cell_angle_alpha 90.00
_cell_angle_beta 90.00
_cell_angle_gamma 90.00
loop_
_atom_site_label
_atom_site_type_symbol
_atom_site_fract_x
_atom_site_fract_y
_atom_site_fract_z
Cs1 Cs 0.000 0.000 0.000
Pb1 Pb 0.500 0.500 0.000
Br1 Br 0.000 0.500 0.500
Cl1 Cl 0.500 0.500 0.500
# Relative energy among the computed polymorphs: 679 meV per atom



Short version: uncorrected formation energy = 0.30 -1.04 1.26 -1.76 -1.11 -0.69 eV/atom, in the order given.
Short version: magnetic moment = 3.34 0.08 3.63 1.00 0.00 0.00 μB/f.u., in the order given.